Material: Al3IrC
Method: DFT, PBE
State: optimized geometry

- density of states at the Fermi level (states/eV/cell) = 1.72
- space group = Pm-3m
- excess energy over the best structure of this formula in the dataset (meV per atom) = 1008

abc: 4.7245 4.7245 4.7245
angles: 90.00 90.00 90.00
Atoms (fractional coordinates):
Al 0.0000 0.0000 0.5000
Al 0.0000 0.5000 0.0000
Al 0.5000 0.0000 0.0000
Ir 0.0000 0.0000 0.0000
C 0.5000 0.5000 0.5000

=====

Material: AlIrC
Method: DFT, PBE
State: optimized geometry

- density of states at the Fermi level (states/eV/cell) = 1.92
- space group = C2
- excess energy over the best structure of this formula in the dataset (meV per atom) = 191

abc: 4.4927 4.4927 4.8681
angles: 120.65 120.65 72.15
Atoms (fractional coordinates):
Al 0.1963 0.1963 0.4766
Al 0.8037 0.8037 0.5234
Ir 0.5246 0.1595 0.1222
Ir 0.8405 0.4754 0.8778
C 0.2896 0.6444 0.3225
C 0.3556 0.7104 0.6775

=====

Material: AlIrC
Method: DFT, PBE
State: optimized geometry

- density of states at the Fermi level (states/eV/cell) = 0.47
- space group = Cmmm
- excess energy over the best structure of this formula in the dataset (meV per atom) = 0

abc: 5.8377 5.8377 3.0710
angles: 90.00 90.00 138.24
Atoms (fractional coordinates):
Al 0.1568 0.8432 0.0000
Al 0.8432 0.1568 0.0000
Ir 0.3488 0.6512 0.5000
Ir 0.6512 0.3488 0.5000
C 0.1675 0.1675 0.5000
C 0.8325 0.8325 0.5000

=====

Material: La2AlIrC
Method: DFT, PBE
State: optimized geometry

- electronic total energy (eV for the cell shown) = -33.52
- density of states at the Fermi level (states/eV/cell) = 2.83
- space group = P4/mmm

abc: 5.4049 5.4049 3.8954
angles: 90.00 90.00 90.00
Atoms (fractional coordinates):
La 0.0000 0.5000 0.0000
La 0.5000 0.0000 0.0000
Al 0.0000 0.0000 0.5000
Ir 0.5000 0.5000 0.5000
C 0.5000 0.5000 0.0000

=====

Material: LaAl2IrC
Method: DFT, PBE
State: optimized geometry

- electronic total energy (eV for the cell shown) = -29.22
- density of states at the Fermi level (states/eV/cell) = 3.93
- space group = P4/mmm

abc: 5.0329 5.0329 3.9038
angles: 90.00 90.00 90.00
Atoms (fractional coordinates):
La 0.0000 0.0000 0.0000
Al 0.0000 0.5000 0.5000
Al 0.5000 0.0000 0.5000
Ir 0.5000 0.5000 0.5000
C 0.5000 0.5000 0.0000

=====

Material: Nb2AlIrC
Method: DFT, PBE
State: optimized geometry

- electronic total energy (eV for the cell shown) = -42.99
- density of states at the Fermi level (states/eV/cell) = 4.50
- space group = P4/mmm

abc: 4.2996 4.2996 3.9449
angles: 90.00 90.00 90.00
Atoms (fractional coordinates):
Nb 0.0000 0.5000 0.0000
Nb 0.5000 0.0000 0.0000
Al 0.0000 0.0000 0.5000
Ir 0.5000 0.5000 0.5000
C 0.0000 0.0000 0.0000

=====

Material: PaAlIrC
Method: DFT, PBE
State: optimized geometry

- electronic total energy (eV for the cell shown) = -65.82
- density of states at the Fermi level (states/eV/cell) = 8.33
- space group = P4/nmm

abc: 3.8654 3.8654 8.7821
angles: 90.00 90.00 90.00
Atoms (fractional coordinates):
Pa 0.2500 0.2500 0.1498
Pa 0.7500 0.7500 0.8502
Al 0.2500 0.2500 0.6700
Al 0.7500 0.7500 0.3300
Ir 0.2500 0.7500 0.5000
Ir 0.7500 0.2500 0.5000
C 0.2500 0.2500 0.8931
C 0.7500 0.7500 0.1069

=====

Material: Sc2AlIrC
Method: DFT, PBE
State: optimized geometry

- electronic total energy (eV for the cell shown) = -37.13
- density of states at the Fermi level (states/eV/cell) = 3.25
- space group = P4/mmm

abc: 4.4926 4.4926 3.9928
angles: 90.00 90.00 90.00
Atoms (fractional coordinates):
Sc 0.0000 0.5000 0.0000
Sc 0.5000 0.0000 0.0000
Al 0.0000 0.0000 0.5000
Ir 0.5000 0.5000 0.5000
C 0.5000 0.5000 0.0000

=====

Which of these has the lowest density of states at the Fermi level? number 3

=====

What is the formula in the eighth record? Sc2AlIrC

=====

density of states at the Fermi level of number 3 (AlIrC)? 0.47 states/eV/cell